Computed, not measured: a relaxed structure of Ti4GaNi15 at the PBE level of DFT. Values from VASP.

Structure (Quantum ESPRESSO input):
```
&SYSTEM
  ibrav = 0, nat = 20, ntyp = 3
/
ATOMIC_SPECIES
Ti 47.87 Ti.upf
Ga 69.72 Ga.upf
Ni 58.69 Ni.upf
CELL_PARAMETERS angstrom
-0.4971 -3.4027 1.0857
1.5417 -1.1931 -3.0338
16.0563 0.2291 8.0694
ATOMIC_POSITIONS crystal
Ti 0.0000 0.0000 0.1964
Ti 0.0000 0.0000 0.3989
Ti 0.0000 0.0000 0.6011
Ti 0.0000 0.0000 0.8036
Ga 0.0000 0.0000 0.0000
Ni 0.5000 0.5000 0.0000
Ni 0.5000 0.5000 0.1994
Ni 0.5000 0.5000 0.4002
Ni 0.5000 0.5000 0.5998
Ni 0.5000 0.5000 0.8006
Ni 0.5000 0.0000 0.0995
Ni 0.5000 0.0000 0.2999
Ni 0.5000 0.0000 0.5000
Ni 0.5000 0.0000 0.7001
Ni 0.5000 0.0000 0.9005
Ni 0.0000 0.5000 0.0995
Ni 0.0000 0.5000 0.2999
Ni 0.0000 0.5000 0.5000
Ni 0.0000 0.5000 0.7001
Ni 0.0000 0.5000 0.9005
```

- Total magnetization: 0.000 μB/cell
- Crystal system: tetragonal
- Theoretical density: 8.1 g cm⁻³
- Energy relative to the elements: -43.4 kJ/mol of atoms


Computed, not measured: a relaxed structure of Nd5ErTm3 at the PBE level of DFT. Values from VASP.

Structure (Quantum ESPRESSO input):
```
&SYSTEM
  ibrav = 0, nat = 18, ntyp = 3
/
ATOMIC_SPECIES
Nd 144.24 Nd.upf
Er 167.26 Er.upf
Tm 168.93 Tm.upf
CELL_PARAMETERS angstrom
9.2998 0.0000 0.0000
0.0000 9.2998 0.0000
-4.6499 -4.6499 7.1082
ATOMIC_POSITIONS crystal
Nd 0.0685 0.5685 0.7355
Nd 0.6670 0.1670 0.7355
Nd 0.1670 0.0685 0.7355
Nd 0.5685 0.6670 0.7355
Nd 0.9315 0.4315 0.2645
Nd 0.3330 0.8330 0.2645
Nd 0.8330 0.9315 0.2645
Nd 0.4315 0.3330 0.2645
Nd 0.5000 0.5000 0.0000
Nd 0.0000 0.0000 0.0000
Er 0.7500 0.2500 0.5000
Er 0.2500 0.7500 0.5000
Tm 0.6094 0.1094 0.0000
Tm 0.3906 0.8906 0.0000
Tm 0.8906 0.6094 0.0000
Tm 0.1094 0.3906 0.0000
Tm 0.2500 0.2500 0.5000
Tm 0.7500 0.7500 0.5000
```

- Polymorph energy (0 for the lowest one): 0.042 eV/atom
- Total magnetization: 0.001 μB/cell
- Crystal system: tetragonal
- Theoretical density: 7.5 g cm⁻³
- Energy relative to the elements: 30.8 kJ/mol of atoms


Computed, not measured: a relaxed structure of AgPt2 at the PBE level of DFT. Values from VASP.

Structure (Quantum ESPRESSO input):
```
&SYSTEM
  ibrav = 0, nat = 12, ntyp = 2
/
ATOMIC_SPECIES
Ag 107.87 Ag.upf
Pt 195.08 Pt.upf
CELL_PARAMETERS angstrom
-0.6975 5.5660 -5.9935
-2.7815 -0.2322 0.1081
-0.2852 6.1382 5.8487
ATOMIC_POSITIONS crystal
Ag 0.9924 0.0000 0.9997
Ag 0.2488 0.5000 0.1630
Ag 0.0012 0.0000 0.6704
Ag 0.2576 0.5000 0.8336
Pt 0.5000 0.0000 0.3326
Pt 0.7500 0.5000 0.5007
Pt 0.5103 0.0000 0.0038
Pt 0.7495 0.5000 0.1742
Pt 0.9980 0.0000 0.3388
Pt 0.2520 0.5000 0.4946
Pt 0.5005 0.0000 0.6592
Pt 0.7397 0.5000 0.8296
```

- Polymorph energy (0 for the lowest one): 0.007 eV/atom
- Total magnetization: 0.001 μB/cell
- Crystal system: monoclinic
- Theoretical density: 17.0 g cm⁻³
- Energy relative to the elements: 0.0 kJ/mol of atoms


Computed, not measured: a relaxed structure of Tm2Co2Hg at the PBE level of DFT. Values from VASP.

Structure (Quantum ESPRESSO input):
```
&SYSTEM
  ibrav = 0, nat = 5, ntyp = 3
/
ATOMIC_SPECIES
Tm 168.93 Tm.upf
Co 58.93 Co.upf
Hg 200.59 Hg.upf
CELL_PARAMETERS angstrom
3.8414 0.0000 0.0000
0.0000 3.6623 -1.0412
0.0000 0.0141 7.0115
ATOMIC_POSITIONS crystal
Tm 0.5000 0.6375 0.2751
Tm 0.5000 0.3625 0.7249
Co 0.0000 0.2066 0.4133
Co 0.0000 0.7934 0.5867
Hg 0.0000 0.0000 0.0000
```

- Total magnetization: 1.438 μB/cell
- Crystal system: orthorhombic
- Theoretical density: 11.0 g cm⁻³
- Energy relative to the elements: -33.7 kJ/mol of atoms


Computed, not measured: a relaxed structure of HoMg5Cd3 at the PBE level of DFT. Values from VASP.

Structure (Quantum ESPRESSO input):
```
&SYSTEM
  ibrav = 0, nat = 18, ntyp = 3
/
ATOMIC_SPECIES
Ho 164.93 Ho.upf
Mg 24.30 Mg.upf
Cd 112.41 Cd.upf
CELL_PARAMETERS angstrom
6.2445 0.0000 0.0000
0.0000 7.5884 -4.3813
0.0000 -0.0003 8.7618
ATOMIC_POSITIONS crystal
Ho 0.0000 0.0000 0.0000
Ho 0.5000 0.0000 0.0000
Mg 0.0000 0.6667 0.3333
Mg 0.5000 0.3333 0.6667
Mg 0.0000 0.3333 0.6667
Mg 0.5000 0.6667 0.3333
Mg 0.7500 0.6571 0.6571
Mg 0.7500 0.0000 0.3429
Mg 0.7500 0.3429 0.0000
Mg 0.2500 0.3429 0.3429
Mg 0.2500 0.0000 0.6571
Mg 0.2500 0.6571 0.0000
Cd 0.7500 0.3278 0.3279
Cd 0.7500 0.0000 0.6721
Cd 0.7500 0.6721 0.0000
Cd 0.2500 0.6722 0.6721
Cd 0.2500 0.0000 0.3279
Cd 0.2500 0.3279 0.0000
```

- Total magnetization: 0.000 μB/cell
- Crystal system: hexagonal
- Theoretical density: 5.0 g cm⁻³
- Energy relative to the elements: -11.7 kJ/mol of atoms


Computed, not measured: a relaxed structure of Tb5Si at the PBE level of DFT. Values from VASP.

Structure (Quantum ESPRESSO input):
```
&SYSTEM
  ibrav = 0, nat = 6, ntyp = 2
/
ATOMIC_SPECIES
Si 28.09 Si.upf
Tb 158.93 Tb.upf
CELL_PARAMETERS angstrom
4.7825 0.0000 0.0000
0.0000 4.6794 0.0000
0.0000 -2.3397 7.3880
ATOMIC_POSITIONS crystal
Si 0.0000 0.0000 0.0000
Tb 0.5000 0.8376 0.6753
Tb 0.0000 0.6553 0.3106
Tb 0.5000 0.5000 0.0000
Tb 0.0000 0.3447 0.6894
Tb 0.5000 0.1624 0.3247
```

- Total magnetization: 0.001 μB/cell
- Crystal system: orthorhombic
- Theoretical density: 8.3 g cm⁻³
- Formation energy from raw total energies: -0.132 eV/atom